A plane-wave DFT calculation with PBE was carried out for MnBr4Cl after structural relaxation.

extended XYZ file:
```
6
Lattice="0.000 4.313 4.313 4.313 0.000 4.313 4.313 4.313 0.000" Properties=species:S:1:pos:R:3 pbc="T T T"
Mn 0.000 0.000 0.000
Br 5.393 3.233 3.233
Br 3.233 5.393 3.233
Br 3.233 3.233 5.393
Br 5.393 5.393 5.393
Cl 2.157 2.157 2.157
```

## Properties
Uncorrected formation energy (meV/atom): 577
Mass density (g cm⁻³): 4.24
Space group: F-43m, No. 216
Final energy (eV/f.u.): -14.25